DFT (PBE-GGA) results for a relaxed Pm3Pr2Ho5 crystal.

Calculated values
Its crystal system is orthorhombic. The value obtained for the energy of formation is 0.389 eV per atom. The energy above the lowest structure with this stoichiometry is 20.1 kJ per mole of atoms. The calculated total energy comes out at -42.81 eV per formula unit.

Cell lengths 12.415, 12.415, 12.415 Å; angles 135.08, 56.23, 147.96 degrees
Sites, in units of the cell vectors:
Pm1 0.131 0.748 0.879
Pm2 0.250 0.250 0.000
Pm3 0.369 0.248 0.617
Pm4 0.631 0.752 0.383
Pm5 0.750 0.750 0.000
Pm6 0.869 0.252 0.121
Pr1 0.126 0.105 0.231
Pr2 0.374 0.605 0.979
Pr3 0.626 0.395 0.021
Pr4 0.874 0.895 0.769
Ho1 0.002 0.750 0.252
Ho2 0.125 0.415 0.540
Ho3 0.250 0.750 0.500
Ho4 0.375 0.915 0.290
Ho5 0.498 0.750 0.748
Ho6 0.502 0.250 0.252
Ho7 0.625 0.085 0.710
Ho8 0.750 0.250 0.500
Ho9 0.875 0.585 0.460
Ho10 0.998 0.250 0.748